Record 1
4
Lattice="2.548 0.000 0.000 0.000 4.331 0.000 -1.274 -0.763 4.100" Properties=species:S:1:pos:R:3 comment="meta-GGA SCAN Ni3Rh, single point on PBEsol structure" formation_energy_mev_per_atom=17.0 space_group="No. 12" dft_energy_ev_per_atom=-20.556 n_ef_per_ev_atom=0.99 volume_a3_per_atom=11.311 pbc="T T T"
Ni 1.274 2.887 2.065
Ni 0.000 0.681 2.035
Ni 1.274 0.000 0.000
Rh 0.000 2.166 0.000


Record 2
16
Lattice="-3.472 -1.425 2.288 2.768 -3.740 1.870 2.193 4.775 6.303" Properties=species:S:1:pos:R:3 comment="meta-GGA SCAN Ni3Rh, single point on PBEsol structure" formation_energy_mev_per_atom=21.0 space_group="No. 62" dft_energy_ev_per_atom=-20.552 n_ef_per_ev_atom=1.01 volume_a3_per_atom=11.305 pbc="T T T"
Rh -1.224 1.810 7.067
Rh 2.713 -2.201 3.394
Rh 0.266 -1.953 4.058
Rh 1.223 1.563 6.403
Ni 2.610 -0.277 7.314
Ni -0.492 -0.098 5.563
Ni -0.530 -0.823 0.832
Ni 1.293 -0.316 2.461
Ni 2.019 0.432 9.629
Ni 0.197 -0.075 8.001
Ni 0.932 -1.934 6.506
Ni 0.557 1.543 3.955
Ni -1.120 -0.114 3.147
Ni 3.068 2.072 8.022
Ni -1.579 -2.463 2.440
Ni 1.982 -0.293 4.899


Record 3
4
Lattice="-0.042 -0.182 -2.621 -1.262 -4.213 0.312 -3.370 3.346 1.138" Properties=species:S:1:pos:R:3 comment="meta-GGA SCAN NiRh, single point on PBEsol structure" formation_energy_mev_per_atom=48.0 space_group="No. 12" dft_energy_ev_per_atom=-24.924 n_ef_per_ev_atom=1.10 volume_a3_per_atom=12.112 pbc="T T T"
Rh -1.857 -2.647 -1.104
Rh -2.817 1.599 -0.066
Ni -1.247 -0.420 0.049
Ni -3.427 -0.629 -1.219


Record 4
6
Lattice="2.663 0.000 0.000 0.000 2.663 0.000 0.000 0.000 11.010" Properties=species:S:1:pos:R:3 comment="meta-GGA SCAN NiRh5, single point on PBEsol structure" formation_energy_mev_per_atom=31.4 space_group="No. 123" dft_energy_ev_per_atom=-30.807 n_ef_per_ev_atom=1.21 volume_a3_per_atom=13.012 pbc="T T T"
Rh 1.331 1.331 5.505
Rh 1.331 1.331 9.283
Rh 0.000 0.000 7.404
Rh 1.331 1.331 1.727
Rh 0.000 0.000 3.606
Ni 0.000 0.000 0.000


Record 5
6
Lattice="-2.021 -1.095 -2.849 -2.637 -1.116 2.300 -0.966 5.434 -1.404" Properties=species:S:1:pos:R:3 comment="meta-GGA SCAN NiRh, single point on PBEsol structure" formation_energy_mev_per_atom=39.9 space_group="No. 38" dft_energy_ev_per_atom=-24.933 n_ef_per_ev_atom=1.05 volume_a3_per_atom=12.079 pbc="T T T"
Ni -3.593 4.296 0.897
Ni -3.868 2.180 -0.446
Ni -3.290 4.317 -1.678
Rh -2.072 1.050 1.066
Rh -1.760 1.052 -1.508
Rh -1.543 3.293 -0.171


Record 6
4
Lattice="2.549 0.000 0.000 0.000 2.549 0.000 0.000 0.000 6.958" Properties=species:S:1:pos:R:3 comment="meta-GGA SCAN Ni3Rh, single point on PBEsol structure" formation_energy_mev_per_atom=33.5 space_group="No. 123" dft_energy_ev_per_atom=-20.539 n_ef_per_ev_atom=0.98 volume_a3_per_atom=11.307 pbc="T T T"
Ni 0.000 0.000 1.819
Ni 1.275 1.275 3.479
Ni 0.000 0.000 5.139
Rh 1.275 1.275 0.000


Record 7
6
Lattice="2.575 0.000 0.000 0.000 3.559 0.000 0.000 0.000 7.563" Properties=species:S:1:pos:R:3 comment="meta-GGA SCAN Ni2Rh, single point on PBEsol structure" formation_energy_mev_per_atom=48.2 space_group="No. 59" dft_energy_ev_per_atom=-21.991 n_ef_per_ev_atom=1.14 volume_a3_per_atom=11.552 pbc="T T T"
Ni 0.000 0.000 5.580
Ni 1.288 1.779 4.375
Ni 1.288 1.779 1.983
Ni 0.000 0.000 3.189
Rh 1.288 1.779 6.873
Rh 0.000 0.000 0.690


Record 8
5
Lattice="3.719 0.000 0.000 1.860 4.169 0.000 1.860 0.000 4.169" Properties=species:S:1:pos:R:3 comment="meta-GGA SCAN NiRh4, single point on PBEsol structure" polymorph_energy_ev_per_atom=0.0144 formation_energy_mev_per_atom=38.9 space_group="No. 87" dft_energy_ev_per_atom=-30.213 n_ef_per_ev_atom=1.41 volume_a3_per_atom=12.931 pbc="T T T"
Rh 3.719 2.504 0.821
Rh 3.719 1.665 3.349
Rh 5.579 3.349 2.504
Rh 1.860 0.821 1.665
Ni 0.000 0.000 0.000